[1]
The following is a DFT calculation (PBE) of Rb2AgHg2 after structural relaxation.

a b c (Å): 6.534 6.534 6.534
angles (deg): 114.78 114.78 99.31
Element x y z (fractional)
Rb (0.250, 0.750, 0.500)
Rb (0.750, 0.250, 0.500)
Ag (0.000, 0.000, 0.000)
Hg (0.330, 0.330, 0.000)
Hg (0.670, 0.670, 0.000)

Computed properties:
SG: I4/mmm, No. 139
Magnetization, μB/cell: 0.00
Total energy, eV/f.u.: -5.7
Calculated volume, Å³/atom: 41.953
Formation energy, kJ per mole of atoms: -5

---

[2]
The following is a DFT calculation (PBE) of InCoAu2 after structural relaxation.

a b c (Å): 3.200 3.200 6.830
angles (deg): 90.00 90.00 90.00
Element x y z (fractional)
In (0.000, 0.000, 0.000)
Co (0.000, 0.000, 0.500)
Au (0.500, 0.500, 0.282)
Au (0.500, 0.500, 0.718)

Computed properties:
SG: P4/mmm, No. 123
Magnetization, μB/cell: 1.87
Total energy, eV/f.u.: -15.9
Calculated volume, Å³/atom: 17.481
Formation energy, kJ per mole of atoms: 13

---

[3]
The following is a DFT calculation (PBE) of LaTiBe2Se after structural relaxation.

a b c (Å): 4.595 4.595 4.755
angles (deg): 90.00 90.00 90.00
Element x y z (fractional)
La (0.000, 0.000, 0.000)
Ti (0.500, 0.500, 0.500)
Be (0.000, 0.500, 0.500)
Be (0.500, 0.000, 0.500)
Se (0.500, 0.500, 0.000)

Computed properties:
SG: P4/mmm, No. 123
Magnetization, μB/cell: 0.00
Total energy, eV/f.u.: -24.0
Calculated volume, Å³/atom: 20.079
Energy relative to the elements, uncorrected, eV per atom: -0.0520

---

[4]
The following is a DFT calculation (PBE) of Ce2PmSm after structural relaxation.

a b c (Å): 12.537 12.537 12.537
angles (deg): 15.65 15.65 15.65
Element x y z (fractional)
Ce (0.086, 0.086, 0.086)
Ce (0.914, 0.914, 0.914)
Pm (0.500, 0.500, 0.500)
Sm (0.000, 0.000, 0.000)

Computed properties:
SG: R-3m, No. 166
Magnetization, μB/cell: 1.57
Total energy, eV/f.u.: -20.4
Calculated volume, Å³/atom: 31.224
Formation energy, kJ per mole of atoms: 23

---

[5]
The following is a DFT calculation (PBE) of Cu3ReAs after structural relaxation.

a b c (Å): 4.406 4.406 4.406
angles (deg): 90.00 90.00 90.00
Element x y z (fractional)
Cu (0.000, 0.000, 0.500)
Cu (0.000, 0.500, 0.000)
Cu (0.500, 0.000, 0.000)
Re (0.500, 0.500, 0.500)
As (0.000, 0.000, 0.000)

Computed properties:
SG: Pm-3m, No. 221
Magnetization, μB/cell: 3.32
Total energy, eV/f.u.: -23.0
Calculated volume, Å³/atom: 17.109
Formation energy, kJ per mole of atoms: 123

---

[6]
The following is a DFT calculation (PBE) of BaIrOs2O8 after structural relaxation.

a b c (Å): 5.006 5.006 8.127
angles (deg): 95.05 95.05 74.73
Element x y z (fractional)
Ba (0.000, 0.000, 0.000)
Ir (0.000, 0.000, 0.500)
Os (0.368, 0.368, 0.292)
Os (0.632, 0.632, 0.708)
O (0.150, 0.729, 0.307)
O (0.238, 0.238, 0.463)
O (0.271, 0.850, 0.693)
O (0.347, 0.347, 0.067)
O (0.653, 0.653, 0.933)
O (0.729, 0.150, 0.307)
O (0.762, 0.762, 0.537)
O (0.850, 0.271, 0.693)

Computed properties:
SG: C2/m, No. 12
Magnetization, μB/cell: 0.00
Total energy, eV/f.u.: -86.1
Calculated volume, Å³/atom: 16.274
Energy relative to the elements, uncorrected, eV per atom: -1.1006

---

[7]
The following is a DFT calculation (PBE) of InRePt2 after structural relaxation.

a b c (Å): 4.550 4.550 4.550
angles (deg): 60.00 60.00 60.00
Element x y z (fractional)
In (0.000, 0.000, 0.000)
Re (0.250, 0.250, 0.250)
Pt (0.500, 0.500, 0.500)
Pt (0.750, 0.750, 0.750)

Computed properties:
SG: F-43m, No. 216
Magnetization, μB/cell: 1.17
Total energy, eV/f.u.: -26.2
Calculated volume, Å³/atom: 16.647
Formation energy, kJ per mole of atoms: 26

---

[8]
The following is a DFT calculation (PBE) of CdIn5Te4 after structural relaxation.

a b c (Å): 8.594 12.018 7.003
angles (deg): 90.00 90.00 90.00
Element x y z (fractional)
Cd (0.250, 0.250, 0.159)
Cd (0.750, 0.750, 0.841)
In (0.063, 0.014, 0.781)
In (0.063, 0.486, 0.781)
In (0.250, 0.750, 0.767)
In (0.437, 0.014, 0.781)
In (0.437, 0.486, 0.781)
In (0.563, 0.514, 0.219)
In (0.563, 0.986, 0.219)
In (0.750, 0.250, 0.233)
In (0.937, 0.514, 0.219)
In (0.937, 0.986, 0.219)
Te (0.009, 0.750, 0.098)
Te (0.250, 0.052, 0.390)
Te (0.250, 0.448, 0.390)
Te (0.491, 0.750, 0.098)
Te (0.509, 0.250, 0.902)
Te (0.750, 0.552, 0.610)
Te (0.750, 0.948, 0.610)
Te (0.991, 0.250, 0.902)

Computed properties:
SG: Pmmn, No. 59
Magnetization, μB/cell: 0.00
Total energy, eV/f.u.: -29.1
Calculated volume, Å³/atom: 36.168
Energy relative to the elements, uncorrected, eV per atom: -0.1914

---

[9]
The following is a DFT calculation (PBE) of ScPaMnSe6 after structural relaxation.

a b c (Å): 6.538 6.538 6.190
angles (deg): 90.00 90.00 120.00
Element x y z (fractional)
Sc (0.000, 0.000, 0.000)
Pa (0.667, 0.333, 0.500)
Mn (0.333, 0.667, 0.000)
Se (0.022, 0.354, 0.236)
Se (0.022, 0.668, 0.764)
Se (0.332, 0.354, 0.764)
Se (0.332, 0.978, 0.236)
Se (0.646, 0.668, 0.236)
Se (0.646, 0.978, 0.764)

Computed properties:
SG: P312, No. 149
Magnetization, μB/cell: 2.98
Total energy, eV/f.u.: -54.4
Calculated volume, Å³/atom: 25.462
Energy relative to the elements, uncorrected, eV per atom: -0.9493

---

[10]
The following is a DFT calculation (PBE) of Ga2PO after structural relaxation.

a b c (Å): 4.274 4.274 4.274
angles (deg): 60.00 60.00 60.00
Element x y z (fractional)
Ga (0.250, 0.250, 0.250)
Ga (0.750, 0.750, 0.750)
P (0.000, 0.000, 0.000)
O (0.500, 0.500, 0.500)

Computed properties:
SG: Fm-3m, No. 225
Magnetization, μB/cell: 0.00
Total energy, eV/f.u.: -16.5
Calculated volume, Å³/atom: 13.800
Energy relative to the elements, uncorrected, eV per atom: -0.0081

---

[11]
The following is a DFT calculation (PBE) of HfTl2Sb2O6 after structural relaxation.

a b c (Å): 5.875 5.875 7.815
angles (deg): 99.64 99.64 60.51
Element x y z (fractional)
Hf (0.000, 0.000, 0.000)
Tl (0.294, 0.294, 0.785)
Tl (0.706, 0.706, 0.215)
Sb (0.377, 0.377, 0.271)
Sb (0.623, 0.623, 0.729)
O (0.209, 0.209, 0.091)
O (0.227, 0.718, 0.175)
O (0.282, 0.773, 0.825)
O (0.718, 0.227, 0.175)
O (0.773, 0.282, 0.825)
O (0.791, 0.791, 0.909)

Computed properties:
SG: C2/m, No. 12
Magnetization, μB/cell: 0.00
Total energy, eV/f.u.: -71.6
Calculated volume, Å³/atom: 20.940
Energy relative to the elements, uncorrected, eV per atom: -1.7200

---

[12]
The following is a DFT calculation (PBE) of Mg3Co after structural relaxation.

a b c (Å): 3.105 3.105 7.460
angles (deg): 90.00 90.00 90.00
Element x y z (fractional)
Mg (0.000, 0.000, 0.000)
Mg (0.500, 0.500, 0.306)
Mg (0.500, 0.500, 0.694)
Co (0.000, 0.000, 0.500)

Computed properties:
SG: P4/mmm, No. 123
Magnetization, μB/cell: 0.00
Total energy, eV/f.u.: -11.6
Calculated volume, Å³/atom: 17.983
Formation energy, kJ per mole of atoms: 8

---

[13]
The following is a DFT calculation (PBE) of Ce2YGa4 after structural relaxation.

a b c (Å): 9.866 9.866 9.866
angles (deg): 155.64 155.34 34.94
Element x y z (fractional)
Ce (0.189, 0.189, 0.000)
Ce (0.811, 0.811, 0.000)
Y (0.000, 0.500, 0.500)
Ga (0.360, 0.360, 0.000)
Ga (0.435, 0.935, 0.500)
Ga (0.565, 0.065, 0.500)
Ga (0.640, 0.640, 0.000)

Computed properties:
SG: Immm, No. 71
Magnetization, μB/cell: 2.36
Total energy, eV/f.u.: -34.3
Calculated volume, Å³/atom: 23.583
Formation energy, kJ per mole of atoms: -53

---

[14]
The following is a DFT calculation (PBE) of KYTl after structural relaxation.

a b c (Å): 5.666 5.666 3.492
angles (deg): 90.00 90.00 120.00
Element x y z (fractional)
K (0.000, 0.000, 0.000)
Y (0.333, 0.667, 0.680)
Tl (0.667, 0.333, 0.358)

Computed properties:
SG: P3m1, No. 156
Magnetization, μB/cell: 0.00
Total energy, eV/f.u.: -9.3
Calculated volume, Å³/atom: 32.360
Formation energy, kJ per mole of atoms: 21

---

[15]
The following is a DFT calculation (PBE) of KCr2Cu after structural relaxation.

a b c (Å): 4.920 4.920 4.920
angles (deg): 60.00 60.00 60.00
Element x y z (fractional)
K (0.000, 0.000, 0.000)
Cr (0.250, 0.250, 0.250)
Cr (0.750, 0.750, 0.750)
Cu (0.500, 0.500, 0.500)

Computed properties:
SG: Fm-3m, No. 225
Magnetization, μB/cell: 9.23
Total energy, eV/f.u.: -19.4
Calculated volume, Å³/atom: 21.057
Formation energy, kJ per mole of atoms: 123

---

[16]
The following is a DFT calculation (PBE) of LaPm5Er2Th after structural relaxation.

a b c (Å): 10.520 10.520 10.599
angles (deg): 90.00 90.00 148.50
Element x y z (fractional)
La (0.085, 0.915, 0.500)
La (0.915, 0.085, 0.000)
Pm (0.023, 0.977, 0.794)
Pm (0.114, 0.886, 0.082)
Pm (0.208, 0.792, 0.758)
Pm (0.222, 0.778, 0.371)
Pm (0.484, 0.516, 0.079)
Pm (0.516, 0.484, 0.579)
Pm (0.778, 0.222, 0.871)
Pm (0.792, 0.208, 0.258)
Pm (0.886, 0.114, 0.582)
Pm (0.977, 0.023, 0.294)
Er (0.385, 0.615, 0.373)
Er (0.388, 0.612, 0.790)
Er (0.612, 0.388, 0.290)
Er (0.615, 0.385, 0.873)
Th (0.301, 0.699, 0.069)
Th (0.699, 0.301, 0.569)

Computed properties:
SG: Cmc2_1, No. 36
Magnetization, μB/cell: 0.00
Total energy, eV/f.u.: -43.8
Calculated volume, Å³/atom: 34.049
Formation energy, kJ per mole of atoms: 16

---

[17]
The following is a DFT calculation (PBE) of Mn2AlRe after structural relaxation.

a b c (Å): 8.495 8.495 8.495
angles (deg): 18.30 18.30 18.30
Element x y z (fractional)
Mn (0.000, 0.000, 0.000)
Mn (0.259, 0.259, 0.259)
Al (0.750, 0.750, 0.750)
Re (0.508, 0.508, 0.508)

Computed properties:
SG: R3m, No. 160
Magnetization, μB/cell: 0.21
Total energy, eV/f.u.: -34.3
Calculated volume, Å³/atom: 13.199
Formation energy, kJ per mole of atoms: 6

---

[18]
The following is a DFT calculation (PBE) of CeDyHg3 after structural relaxation.

a b c (Å): 7.516 7.516 5.954
angles (deg): 90.00 90.00 120.00
Element x y z (fractional)
Ce (0.000, 0.000, 0.000)
Ce (0.000, 0.000, 0.500)
Dy (0.333, 0.667, 0.250)
Dy (0.667, 0.333, 0.750)
Hg (0.205, 0.411, 0.750)
Hg (0.205, 0.795, 0.750)
Hg (0.411, 0.205, 0.250)
Hg (0.589, 0.795, 0.750)
Hg (0.795, 0.205, 0.250)
Hg (0.795, 0.589, 0.250)

Computed properties:
SG: P6_3/mmc, No. 194
Magnetization, μB/cell: 2.54
Total energy, eV/f.u.: -11.7
Calculated volume, Å³/atom: 29.126
Formation energy, kJ per mole of atoms: -4

---

[19]
The following is a DFT calculation (PBE) of CaCoNiB2 after structural relaxation.

a b c (Å): 5.591 5.591 5.591
angles (deg): 143.29 143.29 52.90
Element x y z (fractional)
Ca (0.000, 0.000, 0.000)
Co (0.750, 0.250, 0.500)
Ni (0.250, 0.750, 0.500)
B (0.344, 0.344, 0.000)
B (0.656, 0.656, 0.000)

Computed properties:
SG: I-4m2, No. 119
Magnetization, μB/cell: 0.00
Total energy, eV/f.u.: -29.8
Calculated volume, Å³/atom: 12.418
Formation energy, kJ per mole of atoms: -31

---

[20]
The following is a DFT calculation (PBE) of Pr3Tl after structural relaxation.

a b c (Å): 6.279 6.279 6.279
angles (deg): 133.65 133.65 67.63
Element x y z (fractional)
Pr (0.000, 0.000, 0.000)
Pr (0.250, 0.750, 0.500)
Pr (0.750, 0.250, 0.500)
Tl (0.500, 0.500, 0.000)

Computed properties:
SG: I4/mmm, No. 139
Magnetization, μB/cell: 0.00
Total energy, eV/f.u.: -17.5
Calculated volume, Å³/atom: 31.846
Formation energy, kJ per mole of atoms: -19